CrRuW2O: relaxed, GGA+U.

Cell lengths 4.2781, 3.9474, 4.2781 Å; angles 90.00, 90.00, 90.00 degrees
With the nearest neighbours (Å) after each atom.
Sites, in units of the cell vectors:
W: 0.0000 0.0000 0.5000  2 O 2.14
Cr: 0.0000 0.5000 0.0000  2 O 1.97
Ru: 0.5000 0.5000 0.5000  8 W 2.91, 4 Cr 3.03
W: 0.5000 0.0000 0.0000  2 O 2.14
O: 0.0000 0.0000 0.0000  2 Cr 1.97, 4 W 2.14

Values from the calculation:
D(E_F) = 2.6 states/eV/cell
Uncorrected energy = -34.76 eV/cell